Na3Fe5O12 (GGA+U, relaxed); electronic total energy = -5.663 eV per atom; M_tot = 18.999 μB/f.u.
1.0
-6.229 6.229 6.229
6.229 -6.229 6.229
6.229 6.229 -6.229
Na Fe O
12 20 48
direct
0.125 0.250 0.375
0.125 0.375 0.750
0.250 0.375 0.125
0.250 0.875 0.625
0.375 0.125 0.250
0.375 0.750 0.125
0.625 0.250 0.875
0.625 0.875 0.750
0.750 0.125 0.375
0.750 0.625 0.875
0.875 0.625 0.250
0.875 0.750 0.625
0.000 0.000 0.000
0.000 0.000 0.500
0.000 0.500 0.000
0.000 0.500 0.500
0.125 0.750 0.875
0.125 0.875 0.250
0.250 0.125 0.875
0.250 0.625 0.375
0.375 0.250 0.625
0.375 0.625 0.750
0.500 0.000 0.000
0.500 0.000 0.500
0.500 0.500 0.000
0.500 0.500 0.500
0.625 0.375 0.250
0.625 0.750 0.375
0.750 0.375 0.625
0.750 0.875 0.125
0.875 0.125 0.750
0.875 0.250 0.125
0.013 0.190 0.113
0.013 0.323 0.900
0.077 0.690 0.677
0.077 0.887 0.400
0.100 0.613 0.423
0.100 0.987 0.677
0.113 0.013 0.190
0.113 0.600 0.923
0.177 0.190 0.577
0.177 0.487 0.600
0.190 0.113 0.013
0.190 0.577 0.177
0.310 0.323 0.923
0.310 0.487 0.387
0.323 0.900 0.013
0.323 0.923 0.310
0.387 0.310 0.487
0.387 0.577 0.900
0.400 0.077 0.887
0.400 0.823 0.513
0.423 0.100 0.613
0.423 0.823 0.810
0.487 0.387 0.310
0.487 0.600 0.177
0.513 0.400 0.823
0.513 0.613 0.690
0.577 0.177 0.190
0.577 0.900 0.387
0.600 0.177 0.487
0.600 0.923 0.113
0.613 0.423 0.100
0.613 0.690 0.513
0.677 0.077 0.690
0.677 0.100 0.987
0.690 0.513 0.613
0.690 0.677 0.077
0.810 0.423 0.823
0.810 0.887 0.987
0.823 0.513 0.400
0.823 0.810 0.423
0.887 0.400 0.077
0.887 0.987 0.810
0.900 0.013 0.323
0.900 0.387 0.577
0.923 0.113 0.600
0.923 0.310 0.323
0.987 0.677 0.100
0.987 0.810 0.887